The following is a PBE calculation of Mg2V2Bi after structural relaxation, from Alexandria.

a = 5.5078 Å, b = 6.3052 Å, c = 6.3342 Å
α = 74.46°, β = 85.15°, γ = 85.33°
Positions (direct):
1 Mg 0.0000 0.0000 0.0000
2 Mg 0.0056 0.5192 0.8340
3 Mg 0.4955 0.3229 0.6733
4 Mg 0.9891 0.1613 0.4794
5 V 0.1964 0.5742 0.2426
6 V 0.3003 0.7587 0.4171
7 V 0.6937 0.5773 0.2347
8 V 0.8005 0.7478 0.4210
9 Bi 0.4923 0.8011 0.8162
10 Bi 0.5047 0.1760 0.1951

Summary:
Energy relative to the lowest polymorph listed for this composition ... 0.047 eV/atom
Symmetry ... P1 (1)
M_tot ... 0.00 μB/atom
Energy of formation from the pure elements ... 23.2 kJ/mol of atoms